LiAgPd2 | PBE-GGA | optimized geometry

```
4
Lattice="0.0000 3.1442 3.1442 3.1442 0.0000 3.1442 3.1442 3.1442 0.0000" Properties=species:S:1:pos:R:3 pbc="T T T"
Li 0.0000 0.0000 0.0000
Ag 3.1442 3.1442 3.1442
Pd 1.5721 1.5721 1.5721
Pd 4.7163 4.7163 4.7163
```

- Energy of formation from the pure elements: -75 kJ/mol of formula units
- Distance to the lowest polymorph of the same formula: 46.1 meV per atom
- Density of states at the Fermi level: 0.61 states/eV/cell
- Space-group type: Fm-3m (225)
- Mass density: 8.8 g/cm³